Below is a relaxed CaMg14VO16 crystal, with properties calculated at the PBE+U level.

Total magnetization = 3.00 μB per cell
E above lowest polymorph = 2 meV per atom
Energy = -6.09 eV/atom

Geometry as POSCAR:
```
CaMg14VO16
1.0
4.3297 0.0000 0.0000
0.0000 8.5962 0.0000
0.0000 0.0000 8.6427
Ca Mg V O
1 14 1 16
direct
0.0000 0.0000 0.0000
0.0000 0.2536 0.2525
0.0000 0.2536 0.7475
0.0000 0.5000 0.0000
0.0000 0.5000 0.5000
0.0000 0.7464 0.2525
0.0000 0.7464 0.7475
0.5000 0.0000 0.2541
0.5000 0.0000 0.7459
0.5000 0.2514 0.5000
0.5000 0.2558 0.0000
0.5000 0.5000 0.2508
0.5000 0.5000 0.7492
0.5000 0.7442 0.0000
0.5000 0.7486 0.5000
0.0000 0.0000 0.5000
0.0000 0.0000 0.2572
0.0000 0.0000 0.7428
0.0000 0.2566 0.5000
0.0000 0.2641 0.0000
0.0000 0.5000 0.2523
0.0000 0.5000 0.7477
0.0000 0.7359 0.0000
0.0000 0.7434 0.5000
0.5000 0.0000 0.0000
0.5000 0.0000 0.5000
0.5000 0.2498 0.2504
0.5000 0.2498 0.7496
0.5000 0.5000 0.0000
0.5000 0.5000 0.5000
0.5000 0.7502 0.2504
0.5000 0.7502 0.7496
```